No. 1
# PBE-GGA SrRuPt, optimized geometry
data_SrRuPt
_cell_length_a 3.1065
_cell_length_b 3.1065
_cell_length_c 7.1656
_cell_angle_alpha 90.00
_cell_angle_beta 90.00
_cell_angle_gamma 120.00
_space_group_name_H-M_alt 'P 3 m 1'
_space_group_IT_number 156
loop_
_space_group_symop_operation_xyz
'x,y,z'
'-y,x-y,z'
'-x+y,-x,z'
'-y,-x,z'
'-x+y,y,z'
'x,x-y,z'
loop_
_atom_site_label
_atom_site_type_symbol
_atom_site_fract_x
_atom_site_fract_y
_atom_site_fract_z
Sr1 Sr 0.0000 0.0000 0.0000
Ru1 Ru 0.3333 0.6667 0.6437
Pt1 Pt 0.6667 0.3333 0.3622
# energy above the lowest structure with this stoichiometry	2.23	eV/f.u.
# energy relative to the elements	0.693	eV per atom
# crystal system	trigonal



No. 2
# PBE-GGA SrRuPt2, optimized geometry
data_SrRuPt2
_cell_length_a 2.9132
_cell_length_b 2.9132
_cell_length_c 29.1224
_cell_angle_alpha 90.00
_cell_angle_beta 90.00
_cell_angle_gamma 120.00
_space_group_name_H-M_alt 'R -3 m'
_space_group_IT_number 166
_space_group_name_Hall '-R 3 2"'
loop_
_atom_site_label
_atom_site_type_symbol
_atom_site_fract_x
_atom_site_fract_y
_atom_site_fract_z
Sr1 Sr 0.0000 0.0000 0.0000
Ru1 Ru 0.0000 0.0000 0.5000
Pt1 Pt 0.0000 0.0000 0.2413
# energy above the lowest structure with this stoichiometry	1.57	eV/f.u.
# energy relative to the elements	0.377	eV per atom
# crystal system	trigonal



No. 3
# PBE-GGA SrRu3Pt, optimized geometry
data_SrRu3Pt
_cell_length_a 4.881
_cell_length_b 4.881
_cell_length_c 4.881
_cell_angle_alpha 90.00
_cell_angle_beta 90.00
_cell_angle_gamma 90.00
_space_group_name_H-M_alt 'P m -3 m'
_space_group_IT_number 221
_space_group_name_Hall '-P 4 2 3'
loop_
_atom_site_label
_atom_site_type_symbol
_atom_site_fract_x
_atom_site_fract_y
_atom_site_fract_z
Sr1 Sr 0.000 0.000 0.000
Ru1 Ru 0.000 0.500 0.500
Pt1 Pt 0.500 0.500 0.500
# energy above the lowest structure with this stoichiometry	0.00	eV/f.u.
# energy relative to the elements	1.217	eV per atom
# crystal system	cubic



No. 4
# PBE-GGA Sr2RuPt, optimized geometry
data_Sr2RuPt
_cell_length_a 7.167
_cell_length_b 7.167
_cell_length_c 7.167
_cell_angle_alpha 90.00
_cell_angle_beta 90.00
_cell_angle_gamma 90.00
_space_group_name_H-M_alt 'F -4 3 m'
_space_group_IT_number 216
_space_group_name_Hall 'F -4 2 3'
loop_
_atom_site_label
_atom_site_type_symbol
_atom_site_fract_x
_atom_site_fract_y
_atom_site_fract_z
Sr1 Sr 0.000 0.000 0.000
Sr2 Sr 0.250 0.250 0.250
Ru1 Ru 0.250 0.250 0.750
Pt1 Pt 0.000 0.000 0.500
# energy relative to the elements	0.288	eV per atom
# crystal system	cubic



No. 5
# PBE-GGA Sr2RuPt, optimized geometry
data_Sr2RuPt
_cell_length_a 3.751
_cell_length_b 3.751
_cell_length_c 6.962
_cell_angle_alpha 90.00
_cell_angle_beta 90.00
_cell_angle_gamma 90.00
_space_group_name_H-M_alt 'P 4/m m m'
_space_group_IT_number 123
_space_group_name_Hall '-P 4 2'
loop_
_atom_site_label
_atom_site_type_symbol
_atom_site_fract_x
_atom_site_fract_y
_atom_site_fract_z
Sr1 Sr 0.000 0.000 0.245
Ru1 Ru 0.500 0.500 0.500
Pt1 Pt 0.500 0.500 0.000
# energy relative to the elements	0.082	eV per atom
# crystal system	tetragonal



No. 6
# PBE-GGA Sr2RuPt, optimized geometry
data_Sr2RuPt
_cell_length_a 4.581
_cell_length_b 4.775
_cell_length_c 10.492
_cell_angle_alpha 90.00
_cell_angle_beta 90.00
_cell_angle_gamma 90.00
_space_group_name_H-M_alt 'A m m 2'
_space_group_IT_number 38
loop_
_space_group_symop_operation_xyz
'x,y,z'
'-x,-y,z'
'-x,y,z'
'x,-y,z'
'x,y+1/2,z+1/2'
'-x,-y+1/2,z+1/2'
'-x,y+1/2,z+1/2'
'x,-y+1/2,z+1/2'
loop_
_atom_site_label
_atom_site_type_symbol
_atom_site_fract_x
_atom_site_fract_y
_atom_site_fract_z
Sr1 Sr 0.000 0.000 0.000
Sr2 Sr 0.500 0.000 0.291
Ru1 Ru 0.500 0.000 0.608
Pt1 Pt 0.000 0.000 0.691
# energy relative to the elements	-0.197	eV per atom
# crystal system	orthorhombic



No. 7
# PBE-GGA Sr2RuPt, optimized geometry
data_Sr2RuPt
_cell_length_a 3.7056
_cell_length_b 3.7056
_cell_length_c 26.1760
_cell_angle_alpha 90.00
_cell_angle_beta 90.00
_cell_angle_gamma 120.00
_space_group_name_H-M_alt 'R -3 m'
_space_group_IT_number 166
_space_group_name_Hall '-R 3 2"'
loop_
_atom_site_label
_atom_site_type_symbol
_atom_site_fract_x
_atom_site_fract_y
_atom_site_fract_z
Sr1 Sr 0.0000 0.0000 0.2484
Ru1 Ru 0.0000 0.0000 0.0000
Pt1 Pt 0.0000 0.0000 0.5000
# energy relative to the elements	0.349	eV per atom
# crystal system	trigonal



No. 8
# PBE-GGA SrRuPt, optimized geometry
data_SrRuPt
_cell_length_a 6.653
_cell_length_b 6.653
_cell_length_c 6.653
_cell_angle_alpha 90.00
_cell_angle_beta 90.00
_cell_angle_gamma 90.00
_space_group_name_H-M_alt 'F -4 3 m'
_space_group_IT_number 216
_space_group_name_Hall 'F -4 2 3'
loop_
_atom_site_label
_atom_site_type_symbol
_atom_site_fract_x
_atom_site_fract_y
_atom_site_fract_z
Sr1 Sr 0.000 0.000 0.000
Ru1 Ru 0.250 0.250 0.250
Pt1 Pt 0.250 0.250 0.750
# energy above the lowest structure with this stoichiometry	3.64	eV/f.u.
# energy relative to the elements	1.164	eV per atom
# crystal system	cubic



| no. | total magnetic moment (μB/cell) | calculated volume (A^3/atom) |
| --- | --- | --- |
| 1 | 0.44 | 20.0 |
| 2 | 0.00 | 17.8 |
| 3 | 4.57 | 23.3 |
| 4 | 5.85 | 23.0 |
| 5 | 0.67 | 24.5 |
| 6 | 0.00 | 28.7 |
| 7 | 0.00 | 25.9 |
| 8 | 7.23 | 24.5 |